(1)
The following is a PBE calculation of a geometry-optimized CeHfAs3Au structure, from the Alexandria database.

Values from the calculation:
* energy of formation from the pure elements: -0.854 eV per atom
* density of states at the Fermi level: 2.7 states/eV/f.u.
* symmetry: No. 11
* calculated total energy: -76.469 eV per cell

Lattice parameters (Å, degrees): 7.563 3.943 9.008 90.00 104.64 90.00
Element x y z (fractional)
Ce 0.216 0.250 0.254
Ce 0.784 0.750 0.746
Hf 0.317 0.750 0.830
Hf 0.683 0.250 0.170
As 0.077 0.250 0.864
As 0.339 0.750 0.526
As 0.430 0.750 0.142
As 0.570 0.250 0.858
As 0.661 0.250 0.474
As 0.923 0.750 0.136
Au 0.126 0.250 0.582
Au 0.874 0.750 0.418

(2)
The following is a PBE calculation of a geometry-optimized Pm2Al3ZnPd4 structure, from the Alexandria database.

Values from the calculation:
* energy of formation from the pure elements: -0.805 eV per atom
* density of states at the Fermi level: 6.0 states/eV/f.u.
* symmetry: No. 115
* calculated total energy: -50.822 eV per cell

Lattice parameters (Å, degrees): 4.330 4.330 10.255 90.00 90.00 90.00
Element x y z (fractional)
Pm 0.000 0.500 0.249
Pm 0.500 0.000 0.751
Al 0.000 0.500 0.875
Al 0.500 0.000 0.125
Al 0.500 0.500 0.500
Zn 0.000 0.000 0.500
Pd 0.000 0.000 0.000
Pd 0.000 0.500 0.634
Pd 0.500 0.000 0.366
Pd 0.500 0.500 0.000

(3)
The following is a PBE calculation of a geometry-optimized CsRhSe2N structure, from the Alexandria database.

Values from the calculation:
* density of states at the Fermi level: 4.6 states/eV/f.u.
* offset from the most stable computed form: 0.0 meV/atom
* symmetry: No. 123
* E_form (uncorrected): 0.198 eV/atom
* calculated total energy: -22.510 eV per cell

Lattice parameters (Å, degrees): 5.685 5.685 3.679 90.00 90.00 90.00
Element x y z (fractional)
Cs 0.000 0.000 0.000
Rh 0.500 0.500 0.500
Se 0.000 0.500 0.500
Se 0.500 0.000 0.500
N 0.500 0.500 0.000